VASP calculation (PBE) on an optimized crystal structure of MgMo2Au2.

## Properties
ΔH_f (0 K), meV/atom: 464
SG: No. 139
Relative energy among the computed polymorphs, meV per atom: 320.5

CIF file:
```
data_MgMo2Au2
_chemical_formula_sum 'Mg1 Mo2 Au2'
_space_group_name_H-M_alt 'P 1'
_space_group_IT_number 1
_space_group_name_Hall 'P 1'
_cell_length_a 4.167
_cell_length_b 4.167
_cell_length_c 6.462
_cell_angle_alpha 71.19
_cell_angle_beta 71.19
_cell_angle_gamma 90.00
loop_
_atom_site_label
_atom_site_fract_x
_atom_site_fract_y
_atom_site_fract_z
Mo1 0.406 0.406 0.188
Mo2 0.594 0.594 0.812
Au1 0.250 0.750 0.500
Au2 0.750 0.250 0.500
Mg1 0.000 0.000 0.000
```

=====

VASP calculation (PBE) on an optimized crystal structure of Na2MgGa2Ag5.

## Properties
ΔH_f (0 K), meV/atom: -70
SG: No. 127

CIF file:
```
data_Na2MgGa2Ag5
_chemical_formula_sum 'Na4 Mg2 Ga4 Ag10'
_space_group_name_H-M_alt 'P 1'
_space_group_IT_number 1
_space_group_name_Hall 'P 1'
_cell_length_a 3.864
_cell_length_b 10.220
_cell_length_c 10.220
_cell_angle_alpha 90.00
_cell_angle_beta 90.00
_cell_angle_gamma 90.00
loop_
_atom_site_label
_atom_site_fract_x
_atom_site_fract_y
_atom_site_fract_z
Ag1 0.500 0.561 0.700
Ag2 0.500 0.439 0.300
Ag3 0.500 0.800 0.939
Ag4 0.500 0.200 0.061
Ag5 0.500 0.700 0.439
Ag6 0.500 0.300 0.561
Ag7 0.500 0.000 0.500
Ag8 0.500 0.500 0.000
Ag9 0.500 0.939 0.200
Ag10 0.500 0.061 0.800
Ga1 0.000 0.128 0.628
Ga2 0.000 0.628 0.872
Ga3 0.000 0.372 0.128
Ga4 0.000 0.872 0.372
Na1 0.000 0.827 0.673
Na2 0.000 0.673 0.173
Na3 0.000 0.327 0.827
Na4 0.000 0.173 0.327
Mg1 0.000 0.000 0.000
Mg2 0.000 0.500 0.500
```

=====

VASP calculation (PBE) on an optimized crystal structure of NdNpS2N.

## Properties
Raw formation energy, eV/atom: -1.615
SG: No. 129

CIF file:
```
data_NdNpS2N
_chemical_formula_sum 'Nd2 Np2 S4 N2'
_space_group_name_H-M_alt 'P 1'
_space_group_IT_number 1
_space_group_name_Hall 'P 1'
_cell_length_a 3.877
_cell_length_b 3.877
_cell_length_c 14.193
_cell_angle_alpha 90.00
_cell_angle_beta 90.00
_cell_angle_gamma 90.00
loop_
_atom_site_label
_atom_site_fract_x
_atom_site_fract_y
_atom_site_fract_z
Nd1 0.500 0.000 0.127
Nd2 0.000 0.500 0.873
N1 0.500 0.500 0.500
N2 0.000 0.000 0.500
S1 0.000 0.500 0.090
S2 0.500 0.000 0.318
S3 0.500 0.000 0.910
S4 0.000 0.500 0.682
Np1 0.000 0.500 0.419
Np2 0.500 0.000 0.581
```

=====

VASP calculation (PBE) on an optimized crystal structure of RbHS3.

## Properties
SG: No. 221
Relative energy among the computed polymorphs, meV per atom: 1048.4

CIF file:
```
data_RbHS3
_chemical_formula_sum 'Rb1 H1 S3'
_space_group_name_H-M_alt 'P 1'
_space_group_IT_number 1
_space_group_name_Hall 'P 1'
_cell_length_a 4.471
_cell_length_b 4.471
_cell_length_c 4.471
_cell_angle_alpha 90.00
_cell_angle_beta 90.00
_cell_angle_gamma 90.00
loop_
_atom_site_label
_atom_site_fract_x
_atom_site_fract_y
_atom_site_fract_z
S1 0.000 0.500 0.000
S2 0.500 0.000 0.000
S3 0.000 0.000 0.500
Rb1 0.500 0.500 0.500
H1 0.000 0.000 0.000
```

=====

VASP calculation (PBE) on an optimized crystal structure of Ba2PRu.

## Properties
ΔH_f (0 K), meV/atom: 352
SG: No. 166

CIF file:
```
data_Ba2PRu
_chemical_formula_sum 'Ba2 P1 Ru1'
_space_group_name_H-M_alt 'P 1'
_space_group_IT_number 1
_space_group_name_Hall 'P 1'
_cell_length_a 8.467
_cell_length_b 8.467
_cell_length_c 8.467
_cell_angle_alpha 30.46
_cell_angle_beta 30.46
_cell_angle_gamma 30.46
loop_
_atom_site_label
_atom_site_fract_x
_atom_site_fract_y
_atom_site_fract_z
Ba1 0.244 0.244 0.244
Ba2 0.756 0.756 0.756
Ru1 0.000 0.000 0.000
P1 0.500 0.500 0.500
```

=====

VASP calculation (PBE) on an optimized crystal structure of ZrIn2Au.

## Properties
ΔH_f (0 K), meV/atom: -132
SG: No. 160
Relative energy among the computed polymorphs, meV per atom: 228.8

CIF file:
```
data_ZrIn2Au
_chemical_formula_sum 'Zr1 In2 Au1'
_space_group_name_H-M_alt 'P 1'
_space_group_IT_number 1
_space_group_name_Hall 'P 1'
_cell_length_a 10.018
_cell_length_b 10.018
_cell_length_c 10.018
_cell_angle_alpha 18.82
_cell_angle_beta 18.82
_cell_angle_gamma 18.82
loop_
_atom_site_label
_atom_site_fract_x
_atom_site_fract_y
_atom_site_fract_z
In1 0.247 0.247 0.247
In2 0.006 0.006 0.006
Au1 0.752 0.752 0.752
Zr1 0.495 0.495 0.495
```

=====

VASP calculation (PBE) on an optimized crystal structure of ScCu2O4.

## Properties
Raw formation energy, eV/atom: -1.388
SG: No. 122
Relative energy among the computed polymorphs, meV per atom: 189.9

CIF file:
```
data_ScCu2O4
_chemical_formula_sum 'Sc2 Cu4 O8'
_space_group_name_H-M_alt 'P 1'
_space_group_IT_number 1
_space_group_name_Hall 'P 1'
_cell_length_a 5.708
_cell_length_b 5.708
_cell_length_c 5.708
_cell_angle_alpha 105.91
_cell_angle_beta 105.91
_cell_angle_gamma 116.85
loop_
_atom_site_label
_atom_site_fract_x
_atom_site_fract_y
_atom_site_fract_z
O1 0.128 0.354 0.821
O2 0.622 0.943 0.726
O3 0.693 0.872 0.226
O4 0.533 0.307 0.179
O5 0.057 0.783 0.679
O6 0.646 0.467 0.774
O7 0.217 0.896 0.274
O8 0.104 0.378 0.321
Cu1 0.375 0.783 0.908
Cu2 0.875 0.467 0.092
Cu3 0.533 0.625 0.408
Cu4 0.217 0.125 0.592
Sc1 0.000 0.000 0.000
Sc2 0.750 0.250 0.500
```

=====

VASP calculation (PBE) on an optimized crystal structure of BaHfSeN2.

## Properties
Raw formation energy, eV/atom: 1.523
SG: No. 123
Relative energy among the computed polymorphs, meV per atom: 2200.9

CIF file:
```
data_BaHfSeN2
_chemical_formula_sum 'Ba1 Hf1 Se1 N2'
_space_group_name_H-M_alt 'P 1'
_space_group_IT_number 1
_space_group_name_Hall 'P 1'
_cell_length_a 4.419
_cell_length_b 4.419
_cell_length_c 6.009
_cell_angle_alpha 90.00
_cell_angle_beta 90.00
_cell_angle_gamma 90.00
loop_
_atom_site_label
_atom_site_fract_x
_atom_site_fract_y
_atom_site_fract_z
Ba1 0.000 0.000 0.000
N1 0.500 0.000 0.000
N2 0.000 0.500 0.000
Se1 0.000 0.000 0.500
Hf1 0.500 0.500 0.500
```

=====

VASP calculation (PBE) on an optimized crystal structure of LiY2Se.

## Properties
Raw formation energy, eV/atom: -0.708
SG: No. 160

CIF file:
```
data_LiY2Se
_chemical_formula_sum 'Li1 Y2 Se1'
_space_group_name_H-M_alt 'P 1'
_space_group_IT_number 1
_space_group_name_Hall 'P 1'
_cell_length_a 3.836
_cell_length_b 3.836
_cell_length_c 8.995
_cell_angle_alpha 77.69
_cell_angle_beta 77.69
_cell_angle_gamma 60.00
loop_
_atom_site_label
_atom_site_fract_x
_atom_site_fract_y
_atom_site_fract_z
Y1 0.266 0.266 0.203
Y2 0.068 0.068 0.797
Li1 0.500 0.500 0.501
Se1 0.667 0.667 0.999
```

=====

VASP calculation (PBE) on an optimized crystal structure of CsBaSn3.

## Properties
ΔH_f (0 K), meV/atom: -383
SG: No. 63
Relative energy among the computed polymorphs, meV per atom: 0.0

CIF file:
```
data_CsBaSn3
_chemical_formula_sum 'Cs2 Ba2 Sn6'
_space_group_name_H-M_alt 'P 1'
_space_group_IT_number 1
_space_group_name_Hall 'P 1'
_cell_length_a 4.924
_cell_length_b 5.221
_cell_length_c 16.306
_cell_angle_alpha 99.21
_cell_angle_beta 90.00
_cell_angle_gamma 90.00
loop_
_atom_site_label
_atom_site_fract_x
_atom_site_fract_y
_atom_site_fract_z
Sn1 0.250 0.477 0.954
Sn2 0.750 0.523 0.046
Sn3 0.750 0.612 0.224
Sn4 0.250 0.388 0.776
Sn5 0.250 0.660 0.319
Sn6 0.750 0.340 0.681
Cs1 0.750 0.205 0.411
Cs2 0.250 0.795 0.589
Ba1 0.750 0.933 0.866
Ba2 0.250 0.067 0.134
```

=====

VASP calculation (PBE) on an optimized crystal structure of DyInGePd.

## Properties
ΔH_f (0 K), meV/atom: -547
SG: No. 216

CIF file:
```
data_DyInGePd
_chemical_formula_sum 'Dy1 In1 Ge1 Pd1'
_space_group_name_H-M_alt 'P 1'
_space_group_IT_number 1
_space_group_name_Hall 'P 1'
_cell_length_a 4.892
_cell_length_b 4.892
_cell_length_c 4.892
_cell_angle_alpha 60.00
_cell_angle_beta 60.00
_cell_angle_gamma 60.00
loop_
_atom_site_label
_atom_site_fract_x
_atom_site_fract_y
_atom_site_fract_z
In1 0.500 0.500 0.500
Dy1 0.000 0.000 0.000
Pd1 0.750 0.750 0.750
Ge1 0.250 0.250 0.250
```

=====

VASP calculation (PBE) on an optimized crystal structure of BeV2ZnHg.

## Properties
ΔH_f (0 K), meV/atom: 692
SG: No. 123

CIF file:
```
data_BeV2ZnHg
_chemical_formula_sum 'Be1 V2 Zn1 Hg1'
_space_group_name_H-M_alt 'P 1'
_space_group_IT_number 1
_space_group_name_Hall 'P 1'
_cell_length_a 4.198
_cell_length_b 4.393
_cell_length_c 4.198
_cell_angle_alpha 90.00
_cell_angle_beta 90.00
_cell_angle_gamma 90.00
loop_
_atom_site_label
_atom_site_fract_x
_atom_site_fract_y
_atom_site_fract_z
V1 0.500 0.000 0.000
V2 0.000 0.000 0.500
Zn1 0.500 0.500 0.500
Hg1 0.000 0.500 0.000
Be1 0.000 0.000 0.000
```

=====

VASP calculation (PBE) on an optimized crystal structure of TbPmSmEu.

## Properties
ΔH_f (0 K), meV/atom: 155
SG: No. 216

CIF file:
```
data_TbPmSmEu
_chemical_formula_sum 'Tb1 Pm1 Sm1 Eu1'
_space_group_name_H-M_alt 'P 1'
_space_group_IT_number 1
_space_group_name_Hall 'P 1'
_cell_length_a 5.823
_cell_length_b 5.823
_cell_length_c 5.823
_cell_angle_alpha 60.00
_cell_angle_beta 60.00
_cell_angle_gamma 60.00
loop_
_atom_site_label
_atom_site_fract_x
_atom_site_fract_y
_atom_site_fract_z
Eu1 0.750 0.750 0.750
Sm1 0.000 0.000 0.000
Pm1 0.250 0.250 0.250
Tb1 0.500 0.500 0.500
```

=====

VASP calculation (PBE) on an optimized crystal structure of BaAcNdCd.

## Properties
ΔH_f (0 K), meV/atom: 119
SG: No. 216

CIF file:
```
data_BaAcNdCd
_chemical_formula_sum 'Ba1 Ac1 Nd1 Cd1'
_space_group_name_H-M_alt 'P 1'
_space_group_IT_number 1
_space_group_name_Hall 'P 1'
_cell_length_a 6.013
_cell_length_b 6.013
_cell_length_c 6.013
_cell_angle_alpha 60.00
_cell_angle_beta 60.00
_cell_angle_gamma 60.00
loop_
_atom_site_label
_atom_site_fract_x
_atom_site_fract_y
_atom_site_fract_z
Nd1 0.250 0.250 0.250
Cd1 0.500 0.500 0.500
Ac1 0.000 0.000 0.000
Ba1 0.750 0.750 0.750
```

=====

VASP calculation (PBE) on an optimized crystal structure of LaTeS2O.

## Properties
Raw formation energy, eV/atom: -1.568
SG: No. 129

CIF file:
```
data_LaTeS2O
_chemical_formula_sum 'La2 Te2 S4 O2'
_space_group_name_H-M_alt 'P 1'
_space_group_IT_number 1
_space_group_name_Hall 'P 1'
_cell_length_a 4.055
_cell_length_b 4.055
_cell_length_c 13.425
_cell_angle_alpha 90.00
_cell_angle_beta 90.00
_cell_angle_gamma 90.00
loop_
_atom_site_label
_atom_site_fract_x
_atom_site_fract_y
_atom_site_fract_z
Te1 0.000 0.500 0.878
Te2 0.500 0.000 0.122
O1 0.000 0.000 0.500
O2 0.500 0.500 0.500
La1 0.000 0.500 0.406
La2 0.500 0.000 0.594
S1 0.000 0.500 0.698
S2 0.000 0.500 0.112
S3 0.500 0.000 0.888
S4 0.500 0.000 0.302
```

=====

VASP calculation (PBE) on an optimized crystal structure of MoIr2IN.

## Properties
Raw formation energy, eV/atom: 0.962
SG: No. 123

CIF file:
```
data_MoIr2IN
_chemical_formula_sum 'Mo1 Ir2 I1 N1'
_space_group_name_H-M_alt 'P 1'
_space_group_IT_number 1
_space_group_name_Hall 'P 1'
_cell_length_a 4.249
_cell_length_b 4.249
_cell_length_c 4.241
_cell_angle_alpha 90.00
_cell_angle_beta 90.00
_cell_angle_gamma 90.00
loop_
_atom_site_label
_atom_site_fract_x
_atom_site_fract_y
_atom_site_fract_z
Ir1 0.500 0.000 0.000
Ir2 0.000 0.500 0.000
Mo1 0.000 0.000 0.500
I1 0.500 0.500 0.500
N1 0.000 0.000 0.000
```

=====

VASP calculation (PBE) on an optimized crystal structure of Er2Pu2Pt15.

## Properties
ΔH_f (0 K), meV/atom: -624
SG: No. 166

CIF file:
```
data_Er2Pu2Pt15
_chemical_formula_sum 'Er2 Pu2 Pt15'
_space_group_name_H-M_alt 'P 1'
_space_group_IT_number 1
_space_group_name_Hall 'P 1'
_cell_length_a 7.084
_cell_length_b 7.084
_cell_length_c 7.084
_cell_angle_alpha 82.32
_cell_angle_beta 82.32
_cell_angle_gamma 82.32
loop_
_atom_site_label
_atom_site_fract_x
_atom_site_fract_y
_atom_site_fract_z
Er1 0.108 0.108 0.108
Er2 0.892 0.892 0.892
Pt1 0.688 0.000 0.312
Pt2 0.500 0.000 0.000
Pt3 0.312 0.688 0.000
Pt4 0.161 0.653 0.653
Pt5 0.347 0.347 0.839
Pt6 0.653 0.653 0.161
Pt7 0.688 0.312 0.000
Pt8 0.312 0.000 0.688
Pt9 0.000 0.500 0.000
Pt10 0.000 0.000 0.500
Pt11 0.347 0.839 0.347
Pt12 0.653 0.161 0.653
Pt13 0.839 0.347 0.347
Pt14 0.000 0.312 0.688
Pt15 0.000 0.688 0.312
Pu1 0.358 0.358 0.358
Pu2 0.642 0.642 0.642
```

=====

VASP calculation (PBE) on an optimized crystal structure of RbAsBr2.

## Properties
Raw formation energy, eV/atom: -0.494
SG: No. 166
Relative energy among the computed polymorphs, meV per atom: 22.0

CIF file:
```
data_RbAsBr2
_chemical_formula_sum 'Rb1 As1 Br2'
_space_group_name_H-M_alt 'P 1'
_space_group_IT_number 1
_space_group_name_Hall 'P 1'
_cell_length_a 10.101
_cell_length_b 10.101
_cell_length_c 10.101
_cell_angle_alpha 23.91
_cell_angle_beta 23.91
_cell_angle_gamma 23.91
loop_
_atom_site_label
_atom_site_fract_x
_atom_site_fract_y
_atom_site_fract_z
Br1 0.912 0.912 0.912
Br2 0.088 0.088 0.088
As1 0.000 0.000 0.000
Rb1 0.500 0.500 0.500
```

=====

VASP calculation (PBE) on an optimized crystal structure of Sm6AlAg5.

## Properties
ΔH_f (0 K), meV/atom: -291
SG: No. 10

CIF file:
```
data_Sm6AlAg5
_chemical_formula_sum 'Sm6 Al1 Ag5'
_space_group_name_H-M_alt 'P 1'
_space_group_IT_number 1
_space_group_name_Hall 'P 1'
_cell_length_a 5.234
_cell_length_b 7.462
_cell_length_c 8.282
_cell_angle_alpha 90.00
_cell_angle_beta 108.36
_cell_angle_gamma 90.00
loop_
_atom_site_label
_atom_site_fract_x
_atom_site_fract_y
_atom_site_fract_z
Sm1 0.500 0.748 0.000
Sm2 0.166 0.248 0.334
Sm3 0.166 0.752 0.334
Sm4 0.834 0.752 0.666
Sm5 0.834 0.248 0.666
Sm6 0.500 0.252 0.000
Ag1 0.667 0.500 0.336
Ag2 0.333 0.500 0.664
Ag3 0.658 0.000 0.319
Ag4 0.000 0.500 0.000
Ag5 0.342 0.000 0.681
Al1 0.000 0.000 0.000
```

=====

VASP calculation (PBE) on an optimized crystal structure of BeAgSe.

## Properties
Raw formation energy, eV/atom: 0.180
SG: No. 42
Relative energy among the computed polymorphs, meV per atom: 433.8

CIF file:
```
data_BeAgSe
_chemical_formula_sum 'Be1 Ag1 Se1'
_space_group_name_H-M_alt 'P 1'
_space_group_IT_number 1
_space_group_name_Hall 'P 1'
_cell_length_a 6.815
_cell_length_b 6.570
_cell_length_c 3.051
_cell_angle_alpha 81.34
_cell_angle_beta 72.39
_cell_angle_gamma 26.27
loop_
_atom_site_label
_atom_site_fract_x
_atom_site_fract_y
_atom_site_fract_z
Ag1 0.962 0.962 0.038
Se1 0.716 0.716 0.284
Be1 0.322 0.322 0.678
```